(1)
# KCu2Pd

A relaxed KCu2Pd crystal (GGA-PBE, the Alexandria database).

Cell: 6.6357 6.6357 6.6357 Å, 90.00 90.00 90.00°
Last column: nearest neighbours and their distance in Å.
Space group Fm-3m (No. 225)
One atom of each set of equivalent atoms:
K 0.0000 0.0000 0.0000 x4  8 Cu 2.87
Cu 0.2500 0.2500 0.2500 x8  4 K 2.87, 4 Pd 2.87
Pd 0.0000 0.0000 0.5000 x4  8 Cu 2.87

Magnetic moment (Bohr magnetons per cell): 0.00
Crystal system: cubic
E above lowest polymorph (meV per atom): 199


(2)
# Ga5Se

A relaxed Ga5Se crystal (GGA-PBE, the Alexandria database).

Cell: 4.8123 13.4974 3.7173 Å, 90.00 90.00 90.00°
Last column: nearest neighbours and their distance in Å.
Space group Cmmm (No. 65)
One atom of each set of equivalent atoms:
Ga 0.0000 0.0000 0.0000 x2  8 Ga 2.99-3.26, 4 Se 3.04
Ga 0.0000 0.1738 0.5000 x4  10 Ga 2.89-3.17
Ga 0.0000 0.3374 0.0000 x4  2 Se 2.88, 6 Ga 2.89-3.04
Se 0.0000 0.5000 0.5000 x2  8 Ga 2.88-3.04

Magnetic moment (Bohr magnetons per cell): 0.00
ΔE_f (raw) (meV per atom): -15.6
Crystal system: orthorhombic


(3)
# CaCrIr2

A relaxed CaCrIr2 crystal (GGA-PBE, the Alexandria database).

Cell: 6.4013 6.4013 6.4013 Å, 90.00 90.00 90.00°
Last column: nearest neighbours and their distance in Å.
Space group Fm-3m (No. 225)
One atom of each set of equivalent atoms:
Ca 0.0000 0.0000 0.0000 x4  8 Ir 2.77
Cr 0.0000 0.0000 0.5000 x4  8 Ir 2.77
Ir 0.2500 0.2500 0.2500 x8  4 Cr 2.77, 4 Ca 2.77

Magnetic moment (Bohr magnetons per cell): 9.31
Crystal system: cubic
E above lowest polymorph (meV per atom): 311


(4)
# PmAlGaPt2

A relaxed PmAlGaPt2 crystal (GGA-PBE, the Alexandria database).

Cell: 4.1199 4.1199 11.4458 Å, 90.00 90.00 90.00°
Last column: nearest neighbours and their distance in Å.
Space group I-4m2 (No. 119)
One atom of each set of equivalent atoms:
Pm 0.0000 0.0000 0.0000 x2  8 Pt 3.21, 4 Al 3.53, 4 Ga 3.53
Al 0.0000 0.5000 0.2500 x2  4 Pt 2.55
Ga 0.0000 0.5000 0.7500 x2  4 Pt 2.55
Pt 0.0000 0.0000 0.3817 x4  2 Al 2.55, 2 Ga 2.55, 1 Pt 2.71

Magnetic moment (Bohr magnetons per cell): 0.00
Crystal system: tetragonal


no.,calculated volume (Å³ per atom),E_tot (eV for the cell shown),calculated density (g/cm3)
1,18.3,-49.69,6.2
2,20.1,-37.42,5.9
3,16.4,-114.47,12.1
4,19.4,-57.42,10.8